Record 1
TlSb3N after structural relaxation. Source: the Alexandria database, functional PBE.

a = 5.6626 Å, b = 5.6626 Å, c = 5.6626 Å
α = 90.00°, β = 90.00°, γ = 90.00°
Closest atoms and distances in Å follow each position.
Fractional positions:
Tl 0.0000 0.0000 0.0000  6 Sb 2.83
Sb 0.0000 0.0000 0.5000  2 Tl 2.83
Sb 0.0000 0.5000 0.0000  2 Tl 2.83
Sb 0.5000 0.0000 0.0000  2 Tl 2.83
N 0.5000 0.5000 0.5000  12 Sb 4.00

Calculated values
Formation energy (no corrections) in eV per formula unit: 10.917
Crystal system: cubic
Total magnetization in μB/atom: 0.000
Energy above the lowest structure with this stoichiometry in meV/atom: 1628

***

Record 2
CsZnAuF6 after structural relaxation. Source: the Alexandria database, functional PBE.

a = 5.6894 Å, b = 5.7438 Å, c = 6.3791 Å
α = 91.22°, β = 91.65°, γ = 114.66°
Closest atoms and distances in Å follow each position.
Fractional positions:
Cs 0.0000 0.0000 0.0000  6 F 2.94-3.09
Zn 0.3231 0.6845 0.5030  2 F 1.89
Au 0.6691 0.3350 0.5006  4 F 1.97-1.99
F 0.0900 0.6367 0.2725  1 Zn 1.89
F 0.3634 0.3414 0.3512  1 Au 1.97
F 0.3740 0.9151 0.7338  1 Zn 1.89
F 0.6422 0.0192 0.3485  1 Au 1.99
F 0.6603 0.6376 0.6477  1 Au 1.98
F 0.9890 0.3652 0.6557  1 Au 1.99

Calculated values
Formation energy (no corrections) in eV per formula unit: -16.791
Crystal system: triclinic
Total magnetization in μB/atom: 0.000